Material: MgRuI2
Method: DFT, PBE
State: optimized geometry

Calculated values
**ΔE_f (raw)**: 494.1 meV/atom
**Total moment**: 2.028 μB per cell
**DFT total energy**: -11.99 eV per cell
**ρ**: 6603 kg/m3
**Symmetry**: No. 225
**Energy above the lowest structure with this stoichiometry**: 15.78 kJ/mol of atoms

abc: 5.1281 5.1281 5.1281
angles: 60.00 60.00 60.00
With the nearest neighbours (Å) after each atom.
Fractional positions:
Ru: 0.5000 0.5000 0.5000  8 I 3.14
I: 0.2500 0.2500 0.2500  4 Ru 3.14, 4 Mg 3.14
Mg: 0.0000 0.0000 0.0000  8 I 3.14
I: 0.7500 0.7500 0.7500  4 Ru 3.14, 4 Mg 3.14

=====

Material: MgSb2RuI
Method: DFT, PBE
State: optimized geometry

Calculated values
**ΔE_f (raw)**: 330.4 meV/atom
**Total moment**: 0.000 μB per cell
**DFT total energy**: -19.01 eV per cell
**ρ**: 5499 kg/m3
**Symmetry**: No. 123
**Energy above the lowest structure with this stoichiometry**: 0.00 kJ/mol of atoms

abc: 5.0699 5.0699 5.8249
angles: 90.00 90.00 90.00
With the nearest neighbours (Å) after each atom.
Fractional positions:
Mg: 0.5000 0.5000 0.5000  4 I 3.58, 8 Sb 3.86
I: 0.0000 0.0000 0.5000  2 Ru 2.91
Ru: 0.0000 0.0000 0.0000  4 Sb 2.53
Sb: 0.5000 0.0000 0.0000  2 Ru 2.53
Sb: 0.0000 0.5000 0.0000  2 Ru 2.53

=====

Material: MgSbRuI2
Method: DFT, PBE
State: optimized geometry

Calculated values
**ΔE_f (raw)**: 947.8 meV/atom
**Total moment**: 3.185 μB per cell
**DFT total energy**: -13.35 eV per cell
**ρ**: 4849 kg/m3
**Symmetry**: No. 123
**Energy above the lowest structure with this stoichiometry**: 61.23 kJ/mol of atoms

abc: 5.5271 5.5271 5.6154
angles: 90.00 90.00 90.00
With the nearest neighbours (Å) after each atom.
Fractional positions:
Ru: 0.5000 0.5000 0.5000  4 Sb 3.91, 8 I 3.94
Mg: 0.0000 0.0000 0.0000  4 I 2.76, 2 Sb 2.81
I: 0.5000 0.0000 0.0000  2 Mg 2.76
Sb: 0.0000 0.0000 0.5000  2 Mg 2.81
I: 0.0000 0.5000 0.0000  2 Mg 2.76

=====

Material: MgSbRuI2
Method: DFT, PBE
State: optimized geometry

Calculated values
**ΔE_f (raw)**: 958.5 meV/atom
**Total moment**: 1.603 μB per cell
**DFT total energy**: -13.30 eV per cell
**ρ**: 5367 kg/m3
**Symmetry**: No. 123
**Energy above the lowest structure with this stoichiometry**: 62.27 kJ/mol of atoms

abc: 5.4724 5.1753 5.4724
angles: 90.00 90.00 90.00
With the nearest neighbours (Å) after each atom.
Fractional positions:
I: 0.5000 0.0000 0.0000  2 Mg 2.74
I: 0.0000 0.0000 0.5000  2 Mg 2.74
Sb: 0.5000 0.5000 0.5000  8 I 3.77, 4 Ru 3.87
Mg: 0.0000 0.0000 0.0000  2 Ru 2.59, 4 I 2.74
Ru: 0.0000 0.5000 0.0000  2 Mg 2.59

=====

Material: MgSbRuI2
Method: DFT, PBE
State: optimized geometry

Calculated values
**ΔE_f (raw)**: 313.2 meV/atom
**Total moment**: 0.000 μB per cell
**DFT total energy**: -16.53 eV per cell
**ρ**: 5347 kg/m3
**Symmetry**: No. 123
**Energy above the lowest structure with this stoichiometry**: 0.00 kJ/mol of atoms

abc: 5.5682 5.5682 5.0175
angles: 90.00 90.00 90.00
With the nearest neighbours (Å) after each atom.
Fractional positions:
Ru: 0.0000 0.0000 0.0000  2 Sb 2.51, 4 I 2.78
I: 0.0000 0.5000 0.0000  2 Ru 2.78
I: 0.5000 0.0000 0.0000  2 Ru 2.78
Mg: 0.5000 0.5000 0.5000  8 I 3.75, 4 Sb 3.94
Sb: 0.0000 0.0000 0.5000  2 Ru 2.51

=====

Material: MgSnRuI2
Method: DFT, PBE
State: optimized geometry

Calculated values
**ΔE_f (raw)**: 456.2 meV/atom
**Total moment**: 0.000 μB per cell
**DFT total energy**: -15.69 eV per cell
**ρ**: 5743 kg/m3
**Symmetry**: No. 123

abc: 5.3571 5.0159 5.3571
angles: 90.00 90.00 90.00
With the nearest neighbours (Å) after each atom.
Fractional positions:
Ru: 0.0000 0.0000 0.0000  2 Mg 2.51, 4 I 2.68
Sn: 0.5000 0.5000 0.5000  8 I 3.67, 4 Mg 3.79
Mg: 0.0000 0.5000 0.0000  2 Ru 2.51
I: 0.5000 0.0000 0.0000  2 Ru 2.68
I: 0.0000 0.0000 0.5000  2 Ru 2.68

=====

Material: MgTeRuI2
Method: DFT, PBE
State: optimized geometry

Calculated values
**ΔE_f (raw)**: 729.1 meV/atom
**Total moment**: 3.674 μB per cell
**DFT total energy**: -13.47 eV per cell
**ρ**: 4844 kg/m3
**Symmetry**: No. 123
**Energy above the lowest structure with this stoichiometry**: 46.91 kJ/mol of atoms

abc: 5.5526 5.5526 5.6350
angles: 90.00 90.00 90.00
With the nearest neighbours (Å) after each atom.
Fractional positions:
Te: 0.0000 0.0000 0.5000  2 Mg 2.82
Ru: 0.5000 0.5000 0.5000  4 Te 3.93, 8 I 3.96
I: 0.0000 0.5000 0.0000  2 Mg 2.78
I: 0.5000 0.0000 0.0000  2 Mg 2.78
Mg: 0.0000 0.0000 0.0000  4 I 2.78, 2 Te 2.82

=====

Material: MgTeRuI2
Method: DFT, PBE
State: optimized geometry

Calculated values
**ΔE_f (raw)**: 242.9 meV/atom
**Total moment**: 0.000 μB per cell
**DFT total energy**: -15.90 eV per cell
**ρ**: 5371 kg/m3
**Symmetry**: No. 123
**Energy above the lowest structure with this stoichiometry**: 0.00 kJ/mol of atoms

abc: 5.5491 5.5491 5.0881
angles: 90.00 90.00 90.00
With the nearest neighbours (Å) after each atom.
Fractional positions:
Te: 0.0000 0.0000 0.5000  2 Ru 2.54
Ru: 0.0000 0.0000 0.0000  2 Te 2.54, 4 I 2.77
I: 0.0000 0.5000 0.0000  2 Ru 2.77
I: 0.5000 0.0000 0.0000  2 Ru 2.77
Mg: 0.5000 0.5000 0.5000  8 I 3.76, 4 Te 3.92

=====

Material: Mg7SI12
Method: DFT, PBE
State: optimized geometry

Calculated values
**ΔE_f (raw)**: -1014.1 meV/atom
**Total moment**: 0.000 μB per cell
**DFT total energy**: -54.17 eV per cell
**ρ**: 4166 kg/m3
**Symmetry**: No. 148

abc: 9.4374 9.4374 9.4374
angles: 107.63 107.63 107.63
With the nearest neighbours (Å) after each atom.
Fractional positions:
I: 0.2173 0.0760 0.6965  2 Mg 2.82-2.94
I: 0.9240 0.3035 0.7827  2 Mg 2.82-2.94
Mg: 0.1011 0.0332 0.3148  1 S 2.72, 4 I 2.82-2.95
Mg: 0.3148 0.1011 0.0332  1 S 2.72, 4 I 2.82-2.95
Mg: 0.5000 0.5000 0.5000  6 I 2.94
Mg: 0.0332 0.3148 0.1011  1 S 2.72, 4 I 2.82-2.95
I: 0.5552 0.8469 0.6202  3 Mg 2.89-2.95
I: 0.1531 0.3798 0.4448  3 Mg 2.89-2.95
Mg: 0.6852 0.8989 0.9668  1 S 2.72, 4 I 2.82-2.95
I: 0.6965 0.2173 0.0760  2 Mg 2.82-2.94
I: 0.3035 0.7827 0.9240  2 Mg 2.82-2.94
I: 0.8469 0.6202 0.5552  3 Mg 2.89-2.95
I: 0.7827 0.9240 0.3035  2 Mg 2.82-2.94
Mg: 0.8989 0.9668 0.6852  1 S 2.72, 4 I 2.82-2.95
S: 0.0000 0.0000 0.0000  6 Mg 2.72
I: 0.4448 0.1531 0.3798  3 Mg 2.89-2.95
I: 0.6202 0.5552 0.8469  3 Mg 2.89-2.95
Mg: 0.9668 0.6852 0.8989  1 S 2.72, 4 I 2.82-2.95
I: 0.0760 0.6965 0.2173  2 Mg 2.82-2.94
I: 0.3798 0.4448 0.1531  3 Mg 2.89-2.95

=====

Material: MgSI2
Method: DFT, PBE
State: optimized geometry

Calculated values
**ΔE_f (raw)**: -48.7 meV/atom
**Total moment**: 4.000 μB per cell
**DFT total energy**: -18.03 eV per cell
**ρ**: 3590 kg/m3
**Symmetry**: No. 122
**Energy above the lowest structure with this stoichiometry**: 0.00 kJ/mol of atoms

abc: 8.1050 8.1050 7.2063
angles: 55.78 55.78 90.00
With the nearest neighbours (Å) after each atom.
Fractional positions:
I: 0.8750 0.8213 0.7500  2 Mg 2.80
I: 0.5713 0.1250 0.2500  2 Mg 2.80
S: 0.0000 0.0000 0.0000  4 I 3.37
Mg: 0.2500 0.7500 0.5000  4 I 2.80
I: 0.1787 0.6250 0.2500  2 Mg 2.80
I: 0.3750 0.4287 0.7500  2 Mg 2.80
S: 0.7500 0.2500 0.5000  4 I 3.37
Mg: 0.5000 0.5000 0.0000  4 I 2.80

=====

Material: Mg3SI
Method: DFT, PBE
State: optimized geometry

Calculated values
**ΔE_f (raw)**: -207.4 meV/atom
**Total moment**: 0.000 μB per cell
**DFT total energy**: -11.50 eV per cell
**ρ**: 2761 kg/m3
**Symmetry**: No. 221
**Energy above the lowest structure with this stoichiometry**: 0.00 kJ/mol of atoms

abc: 5.1856 5.1856 5.1856
angles: 90.00 90.00 90.00
With the nearest neighbours (Å) after each atom.
Fractional positions:
Mg: 0.0000 0.5000 0.0000  2 S 2.59
I: 0.5000 0.5000 0.5000  12 Mg 3.67
Mg: 0.0000 0.0000 0.5000  2 S 2.59
Mg: 0.5000 0.0000 0.0000  2 S 2.59
S: 0.0000 0.0000 0.0000  6 Mg 2.59

=====

Material: Mg3SI
Method: DFT, PBE
State: optimized geometry

Calculated values
**ΔE_f (raw)**: 625.7 meV/atom
**Total moment**: 0.000 μB per cell
**DFT total energy**: -7.33 eV per cell
**ρ**: 2130 kg/m3
**Symmetry**: No. 221
**Energy above the lowest structure with this stoichiometry**: 80.38 kJ/mol of atoms

abc: 5.6542 5.6542 5.6542
angles: 90.00 90.00 90.00
With the nearest neighbours (Å) after each atom.
Fractional positions:
Mg: 0.0000 0.5000 0.0000  2 I 2.83
S: 0.5000 0.5000 0.5000  12 Mg 4.00
Mg: 0.0000 0.0000 0.5000  2 I 2.83
I: 0.0000 0.0000 0.0000  6 Mg 2.83
Mg: 0.5000 0.0000 0.0000  2 I 2.83